No. 1
# PBE-GGA La3Pm3Er, relaxed
data_La3Pm3Er
_cell_length_a 9.8410
_cell_length_b 9.8410
_cell_length_c 5.9048
_cell_angle_alpha 90.00
_cell_angle_beta 90.00
_cell_angle_gamma 120.00
_symmetry_space_group_name_H-M 'P 63/m'
_symmetry_Int_Tables_number 176
_symmetry_space_group_name_Hall '-P 6c'
loop_
_atom_site_label
_atom_site_fract_x
_atom_site_fract_y
_atom_site_fract_z
La1 0.0475 0.8042 0.2500
Pm1 0.0956 0.6146 0.7500
Er1 0.3333 0.6667 0.2500
# Formation energy, eV per formula unit: 0.22
# Excess energy over the best structure of this formula in the dataset, meV per atom: 0

***

No. 2
# PBE-GGA PuSbS4, relaxed
data_PuSbS4
_cell_length_a 6.482
_cell_length_b 3.951
_cell_length_c 6.832
_cell_angle_alpha 90.00
_cell_angle_beta 91.52
_cell_angle_gamma 90.00
_symmetry_space_group_name_H-M 'P 1 2/m 1'
_symmetry_Int_Tables_number 10
_symmetry_space_group_name_Hall '-P 2y'
loop_
_atom_site_label
_atom_site_fract_x
_atom_site_fract_y
_atom_site_fract_z
Pu1 0.000 0.000 0.000
Sb1 0.000 0.500 0.500
S1 0.215 0.500 0.844
S2 0.219 0.000 0.325
# ΔE_f (raw), meV per atom: -711

***

No. 3
# PBE-GGA YHo2TmSc5, relaxed
data_YHo2TmSc5
_cell_length_a 5.308
_cell_length_b 18.403
_cell_length_c 10.366
_cell_angle_alpha 90.00
_cell_angle_beta 90.00
_cell_angle_gamma 90.00
_symmetry_space_group_name_H-M 'C m c 21'
_symmetry_Int_Tables_number 36
_symmetry_space_group_name_Hall 'C 2c -2'
loop_
_atom_site_label
_atom_site_fract_x
_atom_site_fract_y
_atom_site_fract_z
Y1 0.000 0.209 0.000
Ho1 0.000 0.106 0.725
Ho2 0.000 0.113 0.315
Tm1 0.000 0.417 0.452
Sc1 0.000 0.022 0.025
Sc2 0.000 0.288 0.287
Sc3 0.000 0.299 0.701
Sc4 0.000 0.400 0.014
Sc5 0.000 0.478 0.726
# Formation energy, eV per formula unit: 1.47

***

No. 4
# PBE-GGA CaSb2Mo, relaxed
data_CaSb2Mo
_cell_length_a 3.688
_cell_length_b 4.928
_cell_length_c 4.950
_cell_angle_alpha 90.00
_cell_angle_beta 90.00
_cell_angle_gamma 90.00
_symmetry_space_group_name_H-M 'P m m m'
_symmetry_Int_Tables_number 47
_symmetry_space_group_name_Hall '-P 2 2'
loop_
_atom_site_label
_atom_site_fract_x
_atom_site_fract_y
_atom_site_fract_z
Ca1 0.000 0.000 0.000
Sb1 0.500 0.000 0.500
Sb2 0.500 0.500 0.000
Mo1 0.000 0.500 0.500
# ΔE_f (raw), meV per atom: 141
# Excess energy over the best structure of this formula in the dataset, meV per atom: 384

***

no.,density of states at the Fermi level (states/eV/atom),total magnetization (μB/cell),volume (Å³ per atom)
1,1.6731,0.00,35.4
2,1.5207,3.11,29.1
3,1.8121,0.00,28.1
4,1.0814,0.60,22.5